1.
VASP calculation (GGA-PBE) on a geometry-optimized Ca2MgMoPt structure.

a b c (Å): 5.5610 5.5610 4.7863
angles (deg): 90.00 90.00 90.00
Each line ends with the local moment (μB).
Fractional coordinates of all 5 atoms:
Mg: 0.5000 0.5000 0.5000  0.01
Mo: 0.0000 0.0000 0.0000  0.63
Ca: 0.0000 0.5000 0.0000  0.02
Ca: 0.5000 0.0000 0.0000  0.02
Pt: 0.0000 0.0000 0.5000  0.00

The value obtained for the formation energy is 584 meV/atom. The calculation puts the density of states at the Fermi level at 4.7 states/eV/f.u. The space group is P4/mmm.



2.
VASP calculation (GGA-PBE) on a geometry-optimized CaMg2MoS structure.

a b c (Å): 6.0292 4.9685 6.0292
angles (deg): 90.00 90.00 90.00
Each line ends with the local moment (μB).
Fractional coordinates of all 5 atoms:
S: 0.0000 0.5000 0.0000  0.06
Mo: 0.5000 0.5000 0.5000  3.96
Mg: 0.0000 0.0000 0.5000  0.01
Mg: 0.5000 0.0000 0.0000  0.00
Ca: 0.0000 0.0000 0.0000  0.01

The calculation puts the density of states at the Fermi level at 2.1 states/eV/f.u. The space group is P4/mmm. For the excess energy over the best structure of this formula in the dataset, the calculation gives 1016.7 meV per atom. The calculation puts the uncorrected formation energy at 1.107 eV/atom.



3.
VASP calculation (GGA-PBE) on a geometry-optimized CaMg2MoS structure.

a b c (Å): 5.2508 4.5453 5.2508
angles (deg): 90.00 90.00 90.00
Fractional coordinates of all 5 atoms:
S: 0.0000 0.5000 0.0000
Mo: 0.0000 0.0000 0.0000
Mg: 0.0000 0.0000 0.5000
Mg: 0.5000 0.0000 0.0000
Ca: 0.5000 0.5000 0.5000

The calculation puts the density of states at the Fermi level at 2.4 states/eV/f.u. The space group is P4/mmm. For the excess energy over the best structure of this formula in the dataset, the calculation gives 0.0 meV per atom. The calculation puts the uncorrected formation energy at 0.090 eV/atom.



4.
VASP calculation (GGA-PBE) on a geometry-optimized SrCaMg2Mo structure.

a b c (Å): 5.6693 5.2787 5.6693
angles (deg): 90.00 90.00 90.00
Each line ends with the local moment (μB).
Fractional coordinates of all 5 atoms:
Mg: 0.0000 0.0000 0.5000  -0.01
Mg: 0.5000 0.0000 0.0000  -0.02
Sr: 0.5000 0.5000 0.5000  0.00
Mo: 0.0000 0.5000 0.0000  2.49
Ca: 0.0000 0.0000 0.0000  0.04

The value obtained for the formation energy is 1111 meV/atom. The calculation puts the density of states at the Fermi level at 3.5 states/eV/f.u. The space group is P4/mmm.



5.
VASP calculation (GGA-PBE) on a geometry-optimized Ca2MgTaMo structure.

a b c (Å): 5.1093 5.0188 5.1093
angles (deg): 90.00 90.00 90.00
Fractional coordinates of all 5 atoms:
Mg: 0.0000 0.0000 0.0000
Mo: 0.0000 0.5000 0.0000
Ca: 0.0000 0.0000 0.5000
Ca: 0.5000 0.0000 0.0000
Ta: 0.5000 0.5000 0.5000

The value obtained for the formation energy is 1782 meV/atom. The calculation puts the density of states at the Fermi level at 5.6 states/eV/f.u. The space group is P4/mmm.



6.
VASP calculation (GGA-PBE) on a geometry-optimized CaMgMoW2 structure.

a b c (Å): 4.7489 4.6133 4.7489
angles (deg): 90.00 90.00 90.00
Fractional coordinates of all 5 atoms:
Mg: 0.0000 0.0000 0.0000
Mo: 0.5000 0.5000 0.5000
Ca: 0.0000 0.5000 0.0000
W: 0.0000 0.0000 0.5000
W: 0.5000 0.0000 0.0000

The value obtained for the formation energy is 2430 meV/atom. The calculation puts the density of states at the Fermi level at 9.3 states/eV/f.u. The space group is P4/mmm.



7.
VASP calculation (GGA-PBE) on a geometry-optimized CaMg8N6 structure.

a b c (Å): 6.2371 6.2371 12.0406
angles (deg): 90.00 90.00 120.00
Fractional coordinates of all 30 atoms:
Ca: 0.0000 0.0000 0.4769
Ca: 0.0000 0.0000 0.9769
Mg: 0.6866 0.6866 0.2758
Mg: 0.6235 0.6235 0.6163
Mg: 0.3765 0.3765 0.1163
Mg: 0.3134 0.3134 0.7758
Mg: 0.6667 0.3333 0.9290
Mg: 0.6667 0.3333 0.4290
Mg: 0.3134 0.0000 0.2758
Mg: 0.3765 0.0000 0.6163
Mg: 0.6235 0.0000 0.1163
Mg: 0.0000 0.6866 0.7758
Mg: 0.6866 0.0000 0.7758
Mg: 0.0000 0.6235 0.1163
Mg: 0.3333 0.6667 0.4290
Mg: 0.3333 0.6667 0.9290
Mg: 0.0000 0.3765 0.6163
Mg: 0.0000 0.3134 0.2758
N: 0.6422 0.6422 0.4456
N: 0.3578 0.3578 0.9456
N: 0.6667 0.3333 0.7036
N: 0.0000 0.0000 0.6907
N: 0.0000 0.0000 0.1907
N: 0.6667 0.3333 0.2036
N: 0.3578 0.0000 0.4456
N: 0.0000 0.6422 0.9456
N: 0.6422 0.0000 0.9456
N: 0.3333 0.6667 0.2036
N: 0.3333 0.6667 0.7036
N: 0.0000 0.3578 0.4456

The space group is P6_3cm. The calculation puts the uncorrected formation energy at -0.653 eV/atom.



8.
VASP calculation (GGA-PBE) on a geometry-optimized Ca4MgN structure.

a b c (Å): 5.1035 7.2470 9.6354
angles (deg): 90.00 105.36 90.00
Fractional coordinates of all 12 atoms:
Ca: 0.1814 0.5185 0.3628
Ca: 0.8186 0.4815 0.6372
Ca: 0.1814 0.9815 0.3628
Ca: 0.8186 0.0185 0.6372
Ca: 0.5873 0.7500 0.1746
Ca: 0.4127 0.2500 0.8254
Ca: 0.0000 0.5000 0.0000
Ca: 0.0000 0.0000 0.0000
Mg: 0.3843 0.7500 0.7686
Mg: 0.6157 0.2500 0.2314
N: 0.0932 0.7500 0.1864
N: 0.9068 0.2500 0.8136

The calculation puts the density of states at the Fermi level at 4.8 states/eV/f.u. The space group is Cmcm. The calculation puts the uncorrected formation energy at -0.370 eV/atom.



9.
VASP calculation (GGA-PBE) on a geometry-optimized Ca6Mg2N structure.

a b c (Å): 7.2965 7.2965 7.2978
angles (deg): 60.00 60.00 60.01
Fractional coordinates of all 9 atoms:
Ca: 0.2633 0.2633 0.7361
Ca: 0.2636 0.7368 0.2632
Ca: 0.7364 0.2632 0.7368
Ca: 0.7368 0.2636 0.2632
Ca: 0.2632 0.7364 0.7368
Ca: 0.7367 0.7367 0.2639
Mg: 0.2500 0.2500 0.2498
Mg: 0.7500 0.7500 0.7502
N: 0.5000 0.5000 0.5000

The calculation puts the density of states at the Fermi level at 7.6 states/eV/f.u. The space group is Fm-3m. The calculation puts the uncorrected formation energy at -0.305 eV/atom.



10.
VASP calculation (GGA-PBE) on a geometry-optimized Ca2MgN2 structure.

a b c (Å): 3.3895 4.9138 5.9669
angles (deg): 114.32 106.50 90.00
Fractional coordinates of all 5 atoms:
Ca: 0.6951 0.6951 0.3902
Ca: 0.3049 0.3049 0.6098
Mg: 0.0000 0.0000 0.0000
N: 0.3523 0.8523 0.7047
N: 0.6477 0.1477 0.2953

The calculation puts the density of states at the Fermi level at 2.6 states/eV/f.u. The space group is Immm. The calculation puts the uncorrected formation energy at -0.596 eV/atom.



11.
VASP calculation (GGA-PBE) on a geometry-optimized Ca3MgN structure.

a b c (Å): 5.0145 5.0145 5.0145
angles (deg): 90.00 90.00 90.00
Fractional coordinates of all 5 atoms:
Ca: 0.0000 0.5000 0.0000
Ca: 0.0000 0.0000 0.5000
Ca: 0.5000 0.0000 0.0000
Mg: 0.5000 0.5000 0.5000
N: 0.0000 0.0000 0.0000

The calculation puts the density of states at the Fermi level at 3.6 states/eV/f.u. The space group is Pm-3m. For the excess energy over the best structure of this formula in the dataset, the calculation gives 0.0 meV per atom. The calculation puts the uncorrected formation energy at -0.419 eV/atom.



12.
VASP calculation (GGA-PBE) on a geometry-optimized Ca2MgN2 structure.

a b c (Å): 6.3614 8.2454 6.2283
angles (deg): 90.00 98.15 90.00
Fractional coordinates of all 20 atoms:
Ca: 0.0738 0.1338 0.6919
Ca: 0.9262 0.6338 0.8081
Ca: 0.9262 0.8662 0.3081
Ca: 0.0738 0.3662 0.1919
Ca: 0.6653 0.3659 0.5535
Ca: 0.3347 0.8659 0.9465
Ca: 0.3347 0.6341 0.4465
Ca: 0.6653 0.1341 0.0535
Mg: 0.3740 0.3884 0.8827
Mg: 0.6260 0.8884 0.6173
Mg: 0.6260 0.6116 0.1173
Mg: 0.3740 0.1116 0.3827
N: 0.2711 0.9069 0.5560
N: 0.7289 0.4069 0.9440
N: 0.7289 0.0931 0.4440
N: 0.2711 0.5931 0.0560
N: 0.2829 0.3414 0.5451
N: 0.7171 0.8414 0.9549
N: 0.7171 0.6586 0.4549
N: 0.2829 0.1586 0.0451

The space group is P2_1/c. The calculation puts the uncorrected formation energy at -0.744 eV/atom.



13.
VASP calculation (GGA-PBE) on a geometry-optimized Ca2MgN2 structure.

a b c (Å): 3.5916 3.5916 8.2702
angles (deg): 90.00 90.00 120.00
Fractional coordinates of all 5 atoms:
Ca: 0.6667 0.3333 0.2732
Ca: 0.3333 0.6667 0.7268
Mg: 0.0000 0.0000 0.0000
N: 0.6667 0.3333 0.8433
N: 0.3333 0.6667 0.1567

The calculation puts the density of states at the Fermi level at 3.6 states/eV/f.u. The space group is P-3m1. The calculation puts the uncorrected formation energy at -0.524 eV/atom.



14.
VASP calculation (GGA-PBE) on a geometry-optimized Ca5MgN4 structure.

a b c (Å): 5.8676 7.5782 7.9498
angles (deg): 90.00 90.00 90.00
Fractional coordinates of all 20 atoms:
Ca: 0.7548 0.2519 0.3010
Ca: 0.7548 0.2519 0.6990
Ca: 0.7548 0.7481 0.3010
Ca: 0.7548 0.7481 0.6990
Ca: 0.2452 0.2481 0.1990
Ca: 0.2452 0.2481 0.8010
Ca: 0.2452 0.7519 0.1990
Ca: 0.2452 0.7519 0.8010
Ca: 0.2967 0.5000 0.5000
Ca: 0.7033 0.0000 0.0000
Mg: 0.2820 0.0000 0.5000
Mg: 0.7180 0.5000 0.0000
N: 0.0763 0.7595 0.5000
N: 0.0763 0.2405 0.5000
N: 0.9237 0.7405 0.0000
N: 0.9237 0.2595 0.0000
N: 0.5117 0.5000 0.2409
N: 0.5117 0.5000 0.7591
N: 0.4883 0.0000 0.2591
N: 0.4883 0.0000 0.7409

The space group is Pmmn. The calculation puts the uncorrected formation energy at -0.693 eV/atom.



15.
VASP calculation (GGA-PBE) on a geometry-optimized Ca5MgN structure.

a b c (Å): 7.3521 7.3521 10.3891
angles (deg): 88.86 111.09 121.31
Fractional coordinates of all 14 atoms:
Ca: 0.7142 0.9320 0.0847
Ca: 0.1696 0.8739 0.5556
Ca: 0.6527 0.3706 0.5847
Ca: 0.2624 0.0124 0.2500
Ca: 0.8183 0.6139 0.9444
Ca: 0.1817 0.3861 0.0556
Ca: 0.7376 0.9876 0.7500
Ca: 0.3473 0.6294 0.4153
Ca: 0.8304 0.1261 0.4444
Ca: 0.2858 0.0680 0.9153
Mg: 0.7476 0.4976 0.2500
Mg: 0.2524 0.5024 0.7500
N: 0.0000 0.0000 0.0000
N: 0.5000 0.0000 0.5000

The calculation puts the density of states at the Fermi level at 6.9 states/eV/f.u. The space group is C2/c. The calculation puts the uncorrected formation energy at -0.278 eV/atom.



16.
VASP calculation (GGA-PBE) on a geometry-optimized Ca4MgNb3N8 structure.

a b c (Å): 6.4411 6.6670 6.4412
angles (deg): 118.89 120.00 90.00
Fractional coordinates of all 16 atoms:
Ca: 0.5000 0.0000 0.0000
Ca: 0.5000 0.0000 0.5000
Ca: 0.0000 0.0000 0.0000
Ca: 0.0000 0.0000 0.5000
Mg: 0.0000 0.5000 0.0000
Nb: 0.5000 0.5000 0.0000
Nb: 0.5000 0.5000 0.5000
Nb: 0.0000 0.5000 0.5000
N: 0.2440 0.7110 0.9670
N: 0.2441 0.7110 0.4881
N: 0.2610 0.2829 0.5219
N: 0.7229 0.7110 0.9670
N: 0.2771 0.2890 0.0330
N: 0.7390 0.7171 0.4781
N: 0.7559 0.2890 0.5119
N: 0.7560 0.2890 0.0330

The calculation puts the density of states at the Fermi level at 2.5 states/eV/f.u. The space group is R-3m. The calculation puts the uncorrected formation energy at -1.092 eV/atom.



17.
VASP calculation (GGA-PBE) on a geometry-optimized Ca2MgNbN4 structure.

a b c (Å): 5.4501 6.4769 7.3466
angles (deg): 90.00 90.00 90.00
Each line ends with the local moment (μB).
Fractional coordinates of all 16 atoms:
Ca: 0.4738 0.3240 0.2517  0.02
Ca: 0.4738 0.3240 0.7483  0.02
Ca: 0.9738 0.6760 0.7517  0.02
Ca: 0.9738 0.6760 0.2483  0.02
Mg: 0.9893 0.1579 0.5000  0.00
Mg: 0.4893 0.8421 0.0000  0.00
Nb: 0.4939 0.8432 0.5000  -0.09
Nb: 0.9939 0.1568 0.0000  -0.09
N: 0.3476 0.1393 0.0000  0.17
N: 0.8476 0.8607 0.5000  0.17
N: 0.3711 0.1265 0.5000  0.15
N: 0.8711 0.8735 0.0000  0.15
N: 0.4252 0.6948 0.7342  0.22
N: 0.9252 0.3052 0.2342  0.22
N: 0.9252 0.3052 0.7658  0.22
N: 0.4252 0.6948 0.2658  0.22

The calculation puts the density of states at the Fermi level at 4.3 states/eV/f.u. The space group is Pmn2_1. The calculation puts the uncorrected formation energy at -0.841 eV/atom.



18.
VASP calculation (GGA-PBE) on a geometry-optimized CaMgNbN3 structure.

a b c (Å): 3.1572 7.9643 5.8706
angles (deg): 87.85 90.00 90.00
Fractional coordinates of all 12 atoms:
Ca: 0.7500 0.6699 0.5985
Ca: 0.2500 0.3301 0.4015
Mg: 0.2500 0.9995 0.7661
Mg: 0.7500 0.0005 0.2339
Nb: 0.2500 0.6904 0.1133
Nb: 0.7500 0.3096 0.8867
N: 0.2500 0.8336 0.3741
N: 0.7500 0.8287 0.9288
N: 0.7500 0.5287 0.2234
N: 0.7500 0.1664 0.6259
N: 0.2500 0.4713 0.7766
N: 0.2500 0.1713 0.0712

The space group is P2_1/m. The calculation puts the uncorrected formation energy at -1.013 eV/atom.



19.
VASP calculation (GGA-PBE) on a geometry-optimized CaMgNb4N8 structure.

a b c (Å): 6.3519 6.3519 6.4339
angles (deg): 60.42 60.42 60.00
Fractional coordinates of all 14 atoms:
Ca: 0.3735 0.3735 0.8794
Mg: 0.9955 0.9955 0.0134
Nb: 0.6241 0.6241 0.1278
Nb: 0.0024 0.4788 0.5163
Nb: 0.4788 0.0024 0.5163
Nb: 0.0024 0.0024 0.5163
N: 0.2421 0.8046 0.7112
N: 0.8046 0.2421 0.7112
N: 0.2421 0.2421 0.7112
N: 0.2330 0.2330 0.3010
N: 0.7496 0.2446 0.2562
N: 0.2446 0.7496 0.2562
N: 0.7496 0.7496 0.2562
N: 0.7577 0.7577 0.7270

The space group is R3m. The calculation puts the uncorrected formation energy at -0.816 eV/atom.



20.
VASP calculation (GGA-PBE) on a geometry-optimized CaMg2NbN structure.

a b c (Å): 4.4507 4.8393 4.4507
angles (deg): 90.00 90.00 90.00
Each line ends with the local moment (μB).
Fractional coordinates of all 5 atoms:
Mg: 0.0000 0.0000 0.5000  0.00
Mg: 0.5000 0.0000 0.0000  0.00
Nb: 0.5000 0.5000 0.5000  2.23
Ca: 0.0000 0.5000 0.0000  0.09
N: 0.0000 0.0000 0.0000  0.19

The calculation puts the density of states at the Fermi level at 3.5 states/eV/f.u. The space group is P4/mmm. The calculation puts the uncorrected formation energy at 0.297 eV/atom.



21.
VASP calculation (GGA-PBE) on a geometry-optimized Ca3Mg2NpN6 structure.

a b c (Å): 5.7130 5.7130 5.9082
angles (deg): 99.16 99.16 120.13
Fractional coordinates of all 12 atoms:
Ca: 0.1731 0.8269 0.5000
Ca: 0.8269 0.1731 0.5000
Ca: 0.5000 0.5000 0.5000
Mg: 0.3329 0.6671 0.0000
Mg: 0.6671 0.3329 0.0000
Np: 0.0000 0.0000 0.0000
N: 0.9253 0.6178 0.7809
N: 0.7680 0.7680 0.2185
N: 0.0747 0.3822 0.2191
N: 0.6178 0.9253 0.7809
N: 0.2320 0.2320 0.7815
N: 0.3822 0.0747 0.2191

The calculation puts the density of states at the Fermi level at 11.7 states/eV/f.u. The space group is C2/m. The calculation puts the uncorrected formation energy at -0.905 eV/atom.